Computed, not measured: crystalline Cr2CdOsO8 at its relaxed geometry at the PBE+U level of DFT.

Lattice parameters (Å, degrees): 4.6483 4.6483 6.3998 90.00 90.00 90.49
With the nearest neighbours (Å) after each atom.
Fractional coordinates of all 12 atoms:
Cr 0.0000 0.0000 0.2474  6 O 1.97-2.10
Cr 0.0000 0.0000 0.7526  6 O 1.97-2.10
Cd 0.5000 0.5000 0.0000  6 O 2.11-2.29
Os 0.5000 0.5000 0.5000  6 O 1.87-1.93
O 0.1780 0.1780 0.0000  2 Cr 1.97, 1 Cd 2.11
O 0.2051 0.2051 0.5000  1 Os 1.93, 2 Cr 2.10
O 0.2993 0.7007 0.2927  1 Os 1.87, 1 Cr 2.00
O 0.2993 0.7007 0.7073  1 Os 1.87, 1 Cr 2.00
O 0.7007 0.2993 0.2927  1 Os 1.87, 1 Cr 2.00
O 0.7007 0.2993 0.7073  1 Os 1.87, 1 Cr 2.00
O 0.7949 0.7949 0.5000  1 Os 1.93, 2 Cr 2.10
O 0.8220 0.8220 0.0000  2 Cr 1.97, 1 Cd 2.11

- space group = Cmmm (65)
- volume (Å³ per cell) = 138
- total magnetization (μB per formula unit) = 5.92
- total energy (eV per atom) = -6.82
- N(E_F) (states/eV/cell) = 3.19